[1]
The following is a DFT calculation (PBE-GGA) of a relaxed structure of FeAgTePd.

Structure (POSCAR):
```
FeAgTePd
1.0
-0.167 -0.651 3.126
-3.050 -1.543 -0.484
6.203 -11.609 -2.087
Te Pd Ag Fe
2 2 2 2
Direct
0.000 0.000 0.806
0.000 0.500 0.306
0.500 0.000 0.642
0.500 0.500 0.142
0.000 0.000 0.030
0.000 0.500 0.530
0.500 0.000 0.411
0.500 0.500 0.911
```

Summary:
Calculated volume: 147 Å³/cell
Density of states at the Fermi level: 3.9 states/eV/f.u.
Raw formation energy: 0.219 eV/atom
E: -4.693 eV per atom
E above lowest polymorph: 0.330 eV/f.u.
Crystal system: orthorhombic

[2]
The following is a DFT calculation (PBE-GGA) of a relaxed structure of SiNi2Au.

Structure (POSCAR):
```
SiNi2Au
1.0
-2.226 2.859 1.376
-3.522 0.448 1.556
1.332 -0.313 5.392
Au Ni Si
1 2 1
Direct
0.250 0.250 0.250
0.012 0.012 0.943
0.488 0.488 0.557
0.750 0.750 0.750
```

Summary:
Calculated volume: 54 Å³/cell
Density of states at the Fermi level: 2.1 states/eV/f.u.
Raw formation energy: -0.161 eV/atom
E: -5.226 eV per atom
Crystal system: monoclinic

[3]
The following is a DFT calculation (PBE-GGA) of a relaxed structure of NdY2ErN4.

Structure (POSCAR):
```
NdY2ErN4
1.0
-2.820 1.187 1.725
2.606 -1.497 5.290
1.511 5.709 -1.457
Nd Y Er N
1 2 1 4
Direct
0.500 0.500 0.000
0.500 0.000 0.500
0.000 0.500 0.500
0.000 0.000 0.000
0.500 0.244 0.251
0.500 0.756 0.749
0.000 0.242 0.744
0.000 0.758 0.256
```

Summary:
Calculated volume: 123 Å³/cell
Density of states at the Fermi level: 0.2 states/eV/f.u.
Raw formation energy: -1.605 eV/atom
E: -8.550 eV per atom
Crystal system: monoclinic

[4]
The following is a DFT calculation (PBE-GGA) of a relaxed structure of AcIn2Ag2.

Structure (POSCAR):
```
AcIn2Ag2
1.0
-1.792 0.203 -4.180
-3.042 -3.186 1.149
-1.545 5.964 3.431
Ac In Ag
1 2 2
Direct
0.000 0.000 0.000
0.750 0.250 0.500
0.250 0.750 0.500
0.609 0.609 0.218
0.391 0.391 0.782
```

Summary:
Calculated volume: 130 Å³/cell
Density of states at the Fermi level: 2.2 states/eV/f.u.
ΔE_f: -1.595 eV/f.u.
E: -3.377 eV per atom
E above lowest polymorph: 0.000 eV/f.u.
Crystal system: tetragonal

[5]
The following is a DFT calculation (PBE-GGA) of a relaxed structure of CaSnAu2.

Structure (POSCAR):
```
CaSnAu2
1.0
-1.763 -3.310 0.760
4.297 -2.102 0.812
-0.285 1.228 4.685
Ca Au Sn
1 2 1
Direct
0.500 0.500 0.500
0.000 0.000 0.500
0.000 0.500 0.000
0.500 0.000 0.000
```

Summary:
Calculated volume: 90 Å³/cell
Density of states at the Fermi level: 2.0 states/eV/f.u.
ΔE_f: -2.102 eV/f.u.
E: -3.665 eV per atom
Crystal system: tetragonal

[6]
The following is a DFT calculation (PBE-GGA) of a relaxed structure of LaNpSn2.

Structure (POSCAR):
```
LaNpSn2
1.0
5.456 0.000 0.000
2.728 4.725 0.000
2.728 1.575 4.453
Np Sn La
1 2 1
Direct
0.500 0.500 0.500
0.250 0.250 0.250
0.750 0.750 0.750
0.000 0.000 0.000
```

Summary:
Calculated volume: 115 Å³/cell
Density of states at the Fermi level: 9.7 states/eV/f.u.
ΔE_f: -0.861 eV/f.u.
E: -6.684 eV per atom
E above lowest polymorph: 0.553 eV/f.u.
Crystal system: cubic

[7]
The following is a DFT calculation (PBE-GGA) of a relaxed structure of BaMn2Mo.

Structure (POSCAR):
```
BaMn2Mo
1.0
3.233 0.000 0.000
0.000 3.233 0.000
0.000 0.000 8.013
Ba Mn Mo
1 2 1
Direct
0.500 0.500 0.750
0.000 0.000 0.087
0.000 0.000 0.413
0.500 0.500 0.250
```

Summary:
Calculated volume: 84 Å³/cell
Density of states at the Fermi level: 3.7 states/eV/f.u.
ΔE_f: 2.220 eV/f.u.
E: -7.218 eV per atom
E above lowest polymorph: 0.000 eV/f.u.
Crystal system: tetragonal

[8]
The following is a DFT calculation (PBE-GGA) of a relaxed structure of Li2CaAlAg4.

Structure (POSCAR):
```
Li2CaAlAg4
1.0
4.555 0.000 0.000
2.278 3.945 0.000
2.278 1.315 8.558
Li Ca Al Ag
2 1 1 4
Direct
0.761 0.761 0.716
0.239 0.239 0.284
0.000 0.000 0.000
0.500 0.500 0.500
0.399 0.399 0.803
0.869 0.869 0.393
0.131 0.131 0.607
0.601 0.601 0.197
```

Summary:
Calculated volume: 154 Å³/cell
Density of states at the Fermi level: 2.4 states/eV/f.u.
ΔE_f: -1.691 eV/f.u.
E: -2.833 eV per atom
Crystal system: trigonal

Repeat the fifth record exactly.
The following is a DFT calculation (PBE-GGA) of a relaxed structure of CaSnAu2.

Structure (POSCAR):
```
CaSnAu2
1.0
-1.763 -3.310 0.760
4.297 -2.102 0.812
-0.285 1.228 4.685
Ca Au Sn
1 2 1
Direct
0.500 0.500 0.500
0.000 0.000 0.500
0.000 0.500 0.000
0.500 0.000 0.000
```

Summary:
Calculated volume: 90 Å³/cell
Density of states at the Fermi level: 2.0 states/eV/f.u.
ΔE_f: -2.102 eV/f.u.
E: -3.665 eV per atom
Crystal system: tetragonal